[1]
An optimized crystal structure of SrPrEuNbO6, computed with PBE.

Cell lengths 6.1142, 6.1142, 6.1142 Å; angles 60.00, 60.00, 60.00 degrees
Atoms (fractional coordinates):
Sr (0.0000, 0.0000, 0.0000)
Pr (0.2500, 0.2500, 0.2500)
Eu (0.5000, 0.5000, 0.5000)
Nb (0.7500, 0.7500, 0.7500)
O (0.5178, 0.5178, 0.9822)
O (0.5178, 0.9822, 0.5178)
O (0.5178, 0.9822, 0.9822)
O (0.9822, 0.5178, 0.5178)
O (0.9822, 0.5178, 0.9822)
O (0.9822, 0.9822, 0.5178)

Summary:
The calculation puts the relative energy among the computed polymorphs at 154 meV/atom. The total energy comes out at -84.582 eV per cell. For the uncorrected formation energy, the calculation gives -2802.7 meV per atom.

---

[2]
An optimized crystal structure of PmEuAgBi, computed with PBE.

Cell lengths 7.7496, 7.7496, 7.7496 Å; angles 90.00, 90.00, 90.00 degrees
Atoms (fractional coordinates):
Pm (0.0000, 0.0000, 0.0000)
Pm (0.0000, 0.5000, 0.5000)
Pm (0.5000, 0.0000, 0.5000)
Pm (0.5000, 0.5000, 0.0000)
Eu (0.0000, 0.0000, 0.5000)
Eu (0.0000, 0.5000, 0.0000)
Eu (0.5000, 0.0000, 0.0000)
Eu (0.5000, 0.5000, 0.5000)
Ag (0.2500, 0.2500, 0.2500)
Ag (0.2500, 0.7500, 0.7500)
Ag (0.7500, 0.2500, 0.7500)
Ag (0.7500, 0.7500, 0.2500)
Bi (0.2500, 0.2500, 0.7500)
Bi (0.2500, 0.7500, 0.2500)
Bi (0.7500, 0.2500, 0.2500)
Bi (0.7500, 0.7500, 0.7500)

Summary:
As for the formation energy from the elements: -526 meV/atom. The total energy comes out at -95.439 eV per cell.

---

[3]
An optimized crystal structure of KBa2In2, computed with PBE.

Cell lengths 4.4339, 4.4339, 26.1453 Å; angles 90.00, 90.00, 90.00 degrees
Atoms (fractional coordinates):
K (0.0000, 0.0000, 0.0000)
K (0.5000, 0.5000, 0.5000)
Ba (0.0000, 0.0000, 0.3613)
Ba (0.0000, 0.0000, 0.6387)
Ba (0.5000, 0.5000, 0.1387)
Ba (0.5000, 0.5000, 0.8613)
In (0.0000, 0.5000, 0.2500)
In (0.0000, 0.5000, 0.7500)
In (0.5000, 0.0000, 0.2500)
In (0.5000, 0.0000, 0.7500)

Summary:
As for the formation energy from the elements: -47 meV/atom. The calculation puts the relative energy among the computed polymorphs at 198 meV/atom. The total energy comes out at -21.311 eV per cell.

---

[4]
An optimized crystal structure of Si2H5CNCl4, computed with PBE.

Cell lengths 7.9263, 12.6761, 10.9856 Å; angles 90.00, 92.51, 90.00 degrees
Atoms (fractional coordinates):
Si (0.0696, 0.1948, 0.1931)
Si (0.0696, 0.3052, 0.6931)
Si (0.3408, 0.0513, 0.3003)
Si (0.3408, 0.4487, 0.8003)
Si (0.6592, 0.5513, 0.1997)
Si (0.6592, 0.9487, 0.6997)
Si (0.9304, 0.6948, 0.3069)
Si (0.9304, 0.8052, 0.8069)
H (0.0072, 0.6699, 0.1902)
H (0.0072, 0.8301, 0.6902)
H (0.2195, 0.0445, 0.3982)
H (0.2195, 0.4555, 0.8982)
H (0.2928, 0.1122, 0.9938)
H (0.2928, 0.3878, 0.4938)
H (0.3838, 0.2297, 0.0593)
H (0.3838, 0.2703, 0.5593)
H (0.4826, 0.1061, 0.0860)
H (0.4826, 0.3939, 0.5860)
H (0.5174, 0.6061, 0.4140)
H (0.5174, 0.8939, 0.9140)
H (0.6162, 0.7297, 0.4407)
H (0.6162, 0.7703, 0.9407)
H (0.7072, 0.6122, 0.5062)
H (0.7072, 0.8878, 0.0062)
H (0.7805, 0.5445, 0.1018)
H (0.7805, 0.9555, 0.6018)
H (0.9928, 0.1699, 0.3098)
H (0.9928, 0.3301, 0.8098)
C (0.3596, 0.1455, 0.0747)
C (0.3596, 0.3545, 0.5747)
C (0.6404, 0.6455, 0.4253)
C (0.6404, 0.8545, 0.9253)
N (0.2600, 0.1304, 0.1848)
N (0.2600, 0.3696, 0.6848)
N (0.7400, 0.6304, 0.3152)
N (0.7400, 0.8696, 0.8152)
Cl (0.0925, 0.6525, 0.4501)
Cl (0.0925, 0.8475, 0.9501)
Cl (0.1040, 0.1446, 0.6792)
Cl (0.1040, 0.3554, 0.1792)
Cl (0.3938, 0.5970, 0.7364)
Cl (0.3938, 0.9030, 0.2364)
Cl (0.4333, 0.6109, 0.1288)
Cl (0.4333, 0.8891, 0.6288)
Cl (0.5667, 0.1109, 0.3712)
Cl (0.5667, 0.3891, 0.8712)
Cl (0.6062, 0.0970, 0.7636)
Cl (0.6062, 0.4030, 0.2636)
Cl (0.8960, 0.6446, 0.8208)
Cl (0.8960, 0.8554, 0.3208)
Cl (0.9075, 0.1525, 0.0499)
Cl (0.9075, 0.3475, 0.5499)

Summary:
The total energy comes out at -244.000 eV per cell.

---

[5]
An optimized crystal structure of K2LiIr, computed with PBE.

Cell lengths 4.3355, 4.3355, 21.7134 Å; angles 90.00, 90.00, 90.00 degrees
Atoms (fractional coordinates):
K (0.2502, 0.2500, 0.1250)
K (0.2498, 0.2500, 0.6250)
K (0.2500, 0.7502, 0.3750)
K (0.2500, 0.7498, 0.8750)
K (0.7500, 0.2498, 0.3750)
K (0.7500, 0.2502, 0.8750)
K (0.7498, 0.7500, 0.1250)
K (0.7502, 0.7500, 0.6250)
Li (0.0000, 0.0000, 0.0000)
Li (0.0000, 0.5000, 0.2500)
Li (0.5000, 0.0000, 0.7500)
Li (0.5000, 0.5000, 0.5000)
Ir (0.0000, 0.0000, 0.5000)
Ir (0.0000, 0.5000, 0.7500)
Ir (0.5000, 0.0000, 0.2500)
Ir (0.5000, 0.5000, 0.0000)

Summary:
As for the formation energy from the elements: 881 meV/atom. The calculation puts the relative energy among the computed polymorphs at 464 meV/atom. The total energy comes out at -37.779 eV per cell.

---

[6]
An optimized crystal structure of Nb2SiSnBr, computed with PBE.

Cell lengths 5.3809, 5.3809, 4.9284 Å; angles 90.00, 90.00, 90.00 degrees
Atoms (fractional coordinates):
Nb (0.0000, 0.5000, 0.0000)
Nb (0.5000, 0.0000, 0.0000)
Si (0.0000, 0.0000, 0.5000)
Sn (0.0000, 0.0000, 0.0000)
Br (0.5000, 0.5000, 0.5000)

Summary:
The total energy comes out at -23.288 eV per cell. For the uncorrected formation energy, the calculation gives 1590.1 meV per atom.

---

[7]
An optimized crystal structure of BaCu2Mo, computed with PBE.

Cell lengths 4.3943, 4.3943, 17.1595 Å; angles 90.00, 90.00, 120.00 degrees
Atoms (fractional coordinates):
Ba (0.0000, 0.0000, 0.0000)
Ba (0.3333, 0.6667, 0.6667)
Ba (0.6667, 0.3333, 0.3333)
Cu (0.0000, 0.0000, 0.1863)
Cu (0.0000, 0.0000, 0.8137)
Cu (0.3333, 0.6667, 0.4804)
Cu (0.3333, 0.6667, 0.8530)
Cu (0.6667, 0.3333, 0.1470)
Cu (0.6667, 0.3333, 0.5196)
Mo (0.0000, 0.0000, 0.5000)
Mo (0.3333, 0.6667, 0.1667)
Mo (0.6667, 0.3333, 0.8333)

Summary:
As for the formation energy from the elements: 453 meV/atom. The calculation puts the relative energy among the computed polymorphs at 0 meV/atom. The total energy comes out at -57.399 eV per cell.

---

[8]
An optimized crystal structure of Pu4GaPt3, computed with PBE.

Cell lengths 3.9197, 4.3534, 10.8151 Å; angles 90.00, 90.00, 90.00 degrees
Atoms (fractional coordinates):
Pu (0.0000, 0.0000, 0.0000)
Pu (0.0000, 0.5000, 0.2725)
Pu (0.5000, 0.0000, 0.4932)
Pu (0.5000, 0.5000, 0.7779)
Ga (0.0000, 0.0000, 0.7139)
Pt (0.0000, 0.5000, 0.5582)
Pt (0.5000, 0.0000, 0.2271)
Pt (0.5000, 0.5000, 0.0434)

Summary:
As for the formation energy from the elements: -624 meV/atom. The total energy comes out at -83.468 eV per cell.

---

[9]
An optimized crystal structure of K3Dy3GeS8, computed with PBE.

Cell lengths 8.7943, 8.7943, 8.7943 Å; angles 53.28, 53.28, 53.28 degrees
Atoms (fractional coordinates):
K (0.0000, 0.5000, 0.5000)
K (0.5000, 0.0000, 0.5000)
K (0.5000, 0.5000, 0.0000)
Dy (0.0000, 0.0000, 0.5000)
Dy (0.0000, 0.5000, 0.0000)
Dy (0.5000, 0.0000, 0.0000)
Ge (0.5000, 0.5000, 0.5000)
S (0.2335, 0.2335, 0.2335)
S (0.2590, 0.7143, 0.7143)
S (0.2857, 0.2857, 0.7410)
S (0.2857, 0.7410, 0.2857)
S (0.7143, 0.2590, 0.7143)
S (0.7143, 0.7143, 0.2590)
S (0.7410, 0.2857, 0.2857)
S (0.7665, 0.7665, 0.7665)

Summary:
The total energy comes out at -77.202 eV per cell. For the uncorrected formation energy, the calculation gives -1497.8 meV per atom.

---

[10]
An optimized crystal structure of Tb12HoTm7, computed with PBE.

Cell lengths 8.6362, 8.6362, 8.6362 Å; angles 94.90, 94.90, 94.90 degrees
Atoms (fractional coordinates):
Tb (0.1469, 0.4147, 0.4766)
Tb (0.1858, 0.7505, 0.3138)
Tb (0.2495, 0.6862, 0.8142)
Tb (0.3138, 0.1858, 0.7505)
Tb (0.4147, 0.4766, 0.1469)
Tb (0.4766, 0.1469, 0.4147)
Tb (0.5234, 0.8531, 0.5853)
Tb (0.5853, 0.5234, 0.8531)
Tb (0.6862, 0.8142, 0.2495)
Tb (0.7505, 0.3138, 0.1858)
Tb (0.8142, 0.2495, 0.6862)
Tb (0.8531, 0.5853, 0.5234)
Ho (0.0000, 0.0000, 0.0000)
Tm (0.0202, 0.0824, 0.3505)
Tm (0.0824, 0.3505, 0.0202)
Tm (0.3505, 0.0202, 0.0824)
Tm (0.5000, 0.5000, 0.5000)
Tm (0.6495, 0.9798, 0.9176)
Tm (0.9176, 0.6495, 0.9798)
Tm (0.9798, 0.9176, 0.6495)

Summary:
As for the formation energy from the elements: 301 meV/atom. The total energy comes out at -85.426 eV per cell.

---

[11]
An optimized crystal structure of LiHoMg2, computed with PBE.

Cell lengths 3.2847, 3.2847, 32.0473 Å; angles 90.00, 90.00, 120.00 degrees
Atoms (fractional coordinates):
Li (0.0000, 0.0000, 0.0000)
Li (0.3333, 0.6667, 0.6667)
Li (0.6667, 0.3333, 0.3333)
Ho (0.0000, 0.0000, 0.5000)
Ho (0.3333, 0.6667, 0.1667)
Ho (0.6667, 0.3333, 0.8333)
Mg (0.0000, 0.0000, 0.2554)
Mg (0.0000, 0.0000, 0.7446)
Mg (0.3333, 0.6667, 0.4112)
Mg (0.3333, 0.6667, 0.9221)
Mg (0.6667, 0.3333, 0.0779)
Mg (0.6667, 0.3333, 0.5888)

Summary:
As for the formation energy from the elements: 32 meV/atom. The calculation puts the relative energy among the computed polymorphs at 75 meV/atom. The total energy comes out at -28.662 eV per cell.

---

[12]
An optimized crystal structure of Sc4Os2Rh, computed with PBE.

Cell lengths 7.8106, 7.8106, 7.8106 Å; angles 33.80, 33.80, 33.80 degrees
Atoms (fractional coordinates):
Sc (0.1214, 0.1214, 0.1214)
Sc (0.3725, 0.3725, 0.3725)
Sc (0.6275, 0.6275, 0.6275)
Sc (0.8786, 0.8786, 0.8786)
Os (0.2482, 0.2482, 0.2482)
Os (0.7518, 0.7518, 0.7518)
Rh (0.5000, 0.5000, 0.5000)

Summary:
As for the formation energy from the elements: -468 meV/atom. The total energy comes out at -58.414 eV per cell.

---

no.,volume (A^3/atom)
1,16.16
2,29.09
3,51.40
4,21.21
5,25.51
6,28.54
7,23.91
8,23.07
9,27.01
10,31.83
11,24.95
12,18.77